DFT (GGA+U) results for LaCrAgO6 after structural relaxation.

Cell: 4.6260 7.4519 8.6805 Å, 90.00 105.00 90.00°
Closest atoms and distances in Å follow each position.
Element x y z (fractional)
La  0.0000  0.1010  0.0000  6 O 2.37-2.61
La  0.0000  0.8990  0.5000  6 O 2.37-2.61
Cr  0.9626  0.3714  0.3615  4 O 1.64-1.70
Cr  0.9626  0.6286  0.8615  4 O 1.64-1.70
Ag  0.3780  0.2797  0.7533  4 O 1.98-2.13
Ag  0.3780  0.7203  0.2533  4 O 1.98-2.13
O  0.0470  0.1013  0.7170  1 Ag 1.99
O  0.0470  0.8987  0.2170  1 Ag 1.99
O  0.0989  0.3391  0.2056  1 Cr 1.65
O  0.0989  0.6609  0.7056  1 Cr 1.65
O  0.2584  0.3777  0.5222  1 Cr 1.68
O  0.2584  0.6223  0.0222  1 Cr 1.68
O  0.4880  0.1712  0.9693  1 Ag 1.98
O  0.4880  0.8288  0.4693  1 Ag 1.98
O  0.7521  0.1986  0.3753  1 Cr 1.64
O  0.7521  0.8014  0.8753  1 Cr 1.64
O  0.7806  0.4276  0.8415  1 Cr 1.70
O  0.7806  0.5724  0.3415  1 Cr 1.70

The crystal system is monoclinic. The total energy comes out at -6.44 eV/atom.